{
  "formula": "AlInSe2",
  "functional": "PBEsol",
  "state": "relaxed",
  "lattice_angstrom": [[0.0000, 3.4793, 3.4793], [3.4793, 0.0000, 3.4793], [3.4793, 3.4793, 0.0000]],
  "species": ["Al", "In", "Se", "Se"],
  "fractional_positions": [[0.0000, 0.0000, 0.0000], [0.2500, 0.2500, 0.2500], [0.5000, 0.5000, 0.5000], [0.7500, 0.7500, 0.7500]],
  "magmom_total_mub_per_atom": 0.000,
  "raw_formation_energy_ev_per_atom": 0.1569,
  "volume_a3_per_atom": 21.1
}